First-principles (PBE) data for a geometry-optimized KRbBeFe2 structure, as listed in Alexandria via LeMat-Bulk. Values from VASP.

**ΔE_f**: 11.23 eV/f.u.
**Space group**: P4/mmm (123)
**ρ**: 2.1 g/cm³

Cell and atoms, written as Quantum ESPRESSO input:
```
&SYSTEM
  ibrav = 0, nat = 5, ntyp = 4
/
ATOMIC_SPECIES
Fe 55.84 Fe.upf
Rb 85.47 Rb.upf
K 39.10 K.upf
Be 9.01 Be.upf
CELL_PARAMETERS angstrom
5.6015 0.0000 0.0000
0.0000 6.2878 0.0000
0.0000 0.0000 5.6015
ATOMIC_POSITIONS angstrom
Fe 0.0000 0.0000 2.8007
Fe 2.8007 0.0000 0.0000
Rb 0.0000 3.1439 0.0000
K 0.0000 0.0000 0.0000
Be 2.8007 3.1439 2.8007
```

First-principles (PBE) data for a geometry-optimized LaBe2Fe structure, as listed in Alexandria via LeMat-Bulk. Values from VASP.

**ΔE to the lowest computed polymorph**: 377 meV/atom
**ΔE_f**: 1.57 eV/f.u.
**Space group**: C2 (5)
**ρ**: 5.2 g/cm³

Cell and atoms, written as Quantum ESPRESSO input:
```
&SYSTEM
  ibrav = 0, nat = 4, ntyp = 3
/
ATOMIC_SPECIES
Be 9.01 Be.upf
La 138.91 La.upf
Fe 55.84 Fe.upf
CELL_PARAMETERS angstrom
-3.2435 2.6741 -0.7913
-2.0247 -3.4455 1.5253
0.6494 1.4396 3.4613
ATOMIC_POSITIONS angstrom
Be -2.0116 -1.1609 2.6636
La -2.6019 1.8032 1.5415
Fe -2.5286 -0.9156 0.5676
Be -2.1354 -2.8898 1.3149
```

First-principles (PBE) data for a geometry-optimized LaBe3Fe structure, as listed in Alexandria via LeMat-Bulk. Values from VASP.

**ΔE to the lowest computed polymorph**: 2233 meV/atom
**ΔE_f**: 11.61 eV/f.u.
**Space group**: Pm-3m (221)
**ρ**: 3.3 g/cm³

Cell and atoms, written as Quantum ESPRESSO input:
```
&SYSTEM
  ibrav = 0, nat = 5, ntyp = 3
/
ATOMIC_SPECIES
Be 9.01 Be.upf
La 138.91 La.upf
Fe 55.84 Fe.upf
CELL_PARAMETERS angstrom
4.8349 0.0000 0.0000
0.0000 4.8349 0.0000
0.0000 0.0000 4.8349
ATOMIC_POSITIONS angstrom
Be 0.0000 2.4175 0.0000
La 0.0000 0.0000 0.0000
Be 0.0000 0.0000 2.4175
Fe 2.4175 2.4175 2.4175
Be 2.4175 0.0000 0.0000
```

First-principles (PBE) data for a geometry-optimized LaBeFe structure, as listed in Alexandria via LeMat-Bulk. Values from VASP.

**ΔE to the lowest computed polymorph**: 342 meV/atom
**ΔE_f**: 1.61 eV/f.u.
**Space group**: F-43m (216)
**ρ**: 5.9 g/cm³

Cell and atoms, written as Quantum ESPRESSO input:
```
&SYSTEM
  ibrav = 0, nat = 3, ntyp = 3
/
ATOMIC_SPECIES
La 138.91 La.upf
Fe 55.84 Fe.upf
Be 9.01 Be.upf
CELL_PARAMETERS angstrom
-0.0007 4.0948 -1.3873
-2.7184 1.2207 -3.1324
-3.3342 2.5937 0.9207
ATOMIC_POSITIONS angstrom
La 0.0000 0.0000 0.0000
Fe -1.5133 1.9773 -0.8998
Be -3.0267 3.9546 -1.7995
```

First-principles (PBE) data for a geometry-optimized La2BeFe2 structure, as listed in Alexandria via LeMat-Bulk. Values from VASP.

**ΔE_f**: 1.23 eV/f.u.
**Space group**: P4/mbm (127)
**ρ**: 6.7 g/cm³

Cell and atoms, written as Quantum ESPRESSO input:
```
&SYSTEM
  ibrav = 0, nat = 10, ntyp = 3
/
ATOMIC_SPECIES
La 138.91 La.upf
Fe 55.84 Fe.upf
Be 9.01 Be.upf
CELL_PARAMETERS angstrom
-0.2990 0.3333 -6.7020
-4.7637 -4.7353 -0.0229
-3.0869 3.1040 0.2921
ATOMIC_POSITIONS angstrom
La -5.6223 -2.0694 -4.4761
Fe -1.8441 -1.7571 -0.8160
Fe -0.7593 -0.3636 -4.1610
Be 0.0000 0.0000 0.0000
La -4.8714 -1.6383 -1.1222
Fe -3.2186 -2.6449 -5.9089
Fe -4.3034 -4.0384 -2.5639
La -2.5273 0.7714 -1.9568
Be -2.5314 -2.2010 -3.3624
La -3.2782 0.3403 -5.3107
```

First-principles (PBE) data for a geometry-optimized LaBe2Fe2 structure, as listed in Alexandria via LeMat-Bulk. Values from VASP.

**ΔE to the lowest computed polymorph**: 0 meV/atom
**ΔE_f**: 0.40 eV/f.u.
**Space group**: I4/mmm (139)
**ρ**: 5.9 g/cm³

Cell and atoms, written as Quantum ESPRESSO input:
```
&SYSTEM
  ibrav = 0, nat = 5, ntyp = 3
/
ATOMIC_SPECIES
Be 9.01 Be.upf
Fe 55.84 Fe.upf
La 138.91 La.upf
CELL_PARAMETERS angstrom
3.7438 0.0000 0.0000
0.0000 3.7438 0.0000
1.8719 1.8719 5.3827
ATOMIC_POSITIONS angstrom
Be 1.8719 1.8719 1.4398
Fe 1.8719 3.7438 2.6913
Be 3.7438 3.7438 3.9429
La 0.0000 0.0000 0.0000
Fe 3.7438 1.8719 2.6913
```

First-principles (PBE) data for a geometry-optimized LaBe2Fe structure, as listed in Alexandria via LeMat-Bulk. Values from VASP.

**ΔE to the lowest computed polymorph**: 403 meV/atom
**ΔE_f**: 1.67 eV/f.u.
**Space group**: Imm2 (44)
**ρ**: 5.2 g/cm³

Cell and atoms, written as Quantum ESPRESSO input:
```
&SYSTEM
  ibrav = 0, nat = 4, ntyp = 3
/
ATOMIC_SPECIES
Fe 55.84 Fe.upf
La 138.91 La.upf
Be 9.01 Be.upf
CELL_PARAMETERS angstrom
4.6576 -0.0428 -0.0210
0.1835 4.6542 0.0210
-1.8019 -2.9551 3.1171
ATOMIC_POSITIONS angstrom
Fe 2.8979 2.7604 0.0000
La 0.3533 1.9569 1.5690
Be 4.4113 4.2019 0.0000
Be 2.6383 -0.3460 1.5481
```

First-principles (PBE) data for a geometry-optimized LaBe2Fe structure, as listed in Alexandria via LeMat-Bulk. Values from VASP.

**ΔE to the lowest computed polymorph**: 48 meV/atom
**ΔE_f**: 0.25 eV/f.u.
**Space group**: C2/m (12)
**ρ**: 5.5 g/cm³

Cell and atoms, written as Quantum ESPRESSO input:
```
&SYSTEM
  ibrav = 0, nat = 4, ntyp = 3
/
ATOMIC_SPECIES
La 138.91 La.upf
Be 9.01 Be.upf
Fe 55.84 Fe.upf
CELL_PARAMETERS angstrom
3.9376 0.0937 -0.0349
2.1896 3.2740 -0.0349
1.6031 0.8811 5.0604
ATOMIC_POSITIONS angstrom
La 5.7978 3.1866 3.7430
Be 3.9023 2.1448 1.5671
Be 6.0901 3.3473 0.8585
Fe 1.9326 1.0622 1.2477
```

First-principles (PBE) data for a geometry-optimized LaBe2Fe2 structure, as listed in Alexandria via LeMat-Bulk. Values from VASP.

**ΔE to the lowest computed polymorph**: 238 meV/atom
**ΔE_f**: 1.59 eV/f.u.
**Space group**: P4/mbm (127)
**ρ**: 6.5 g/cm³

Cell and atoms, written as Quantum ESPRESSO input:
```
&SYSTEM
  ibrav = 0, nat = 10, ntyp = 3
/
ATOMIC_SPECIES
La 138.91 La.upf
Be 9.01 Be.upf
Fe 55.84 Fe.upf
CELL_PARAMETERS angstrom
-0.6496 0.4836 -7.0307
-0.6631 -7.0334 -0.4225
-2.7373 0.2419 0.2696
ATOMIC_POSITIONS angstrom
La 0.0000 0.0000 0.0000
La -0.6564 -3.2749 -3.7266
Be -0.4691 -0.4783 -4.3348
Fe -2.3544 -5.4759 -4.8534
Fe -1.6956 -0.8321 -2.3302
Be -0.8436 -6.0715 -3.1185
Be -0.3301 -2.6903 -0.9377
Be -0.9827 -3.8595 -6.5155
Fe -2.1412 -1.8711 -5.9225
Fe -1.9089 -4.4368 -1.2611
```

First-principles (PBE) data for a geometry-optimized LaBe4Fe4 structure, as listed in Alexandria via LeMat-Bulk. Values from VASP.

**ΔE_f**: -0.16 eV/f.u.
**Space group**: I4/m (87)
**ρ**: 5.6 g/cm³

Cell and atoms, written as Quantum ESPRESSO input:
```
&SYSTEM
  ibrav = 0, nat = 18, ntyp = 3
/
ATOMIC_SPECIES
Be 9.01 Be.upf
Fe 55.84 Fe.upf
La 138.91 La.upf
CELL_PARAMETERS angstrom
-0.1054 3.3643 2.0963
-4.1593 -3.5113 5.4259
6.4597 -2.0546 3.6221
ATOMIC_POSITIONS angstrom
Be 1.1091 1.9281 4.4598
Fe -1.2183 -0.6038 8.4054
Be 2.3119 -2.5349 7.9370
Fe 2.0883 0.5319 2.9989
La 0.0000 0.0000 0.0000
Be -1.3948 -2.8054 4.4343
Fe -0.9908 -1.6327 2.5733
Be 3.8620 -0.3970 4.5793
Fe 3.3080 1.7637 4.8336
Be 0.9806 -0.7676 8.7795
Be 3.6952 -2.7585 4.6150
Fe -1.9489 -0.6441 4.6890
Be -1.6669 -1.8068 6.5637
Fe 0.1068 -2.7362 8.1438
La 1.0975 -1.1008 5.5722
Be -0.1170 0.3353 3.2087
Fe 4.1438 -1.5549 6.4570
Fe 3.2912 -3.9306 6.4763
```

First-principles (PBE) data for a geometry-optimized LaBe2Fe structure, as listed in Alexandria via LeMat-Bulk. Values from VASP.

**ΔE to the lowest computed polymorph**: 708 meV/atom
**ΔE_f**: 2.89 eV/f.u.
**Space group**: P4/mmm (123)
**ρ**: 5.4 g/cm³

Cell and atoms, written as Quantum ESPRESSO input:
```
&SYSTEM
  ibrav = 0, nat = 4, ntyp = 3
/
ATOMIC_SPECIES
Fe 55.84 Fe.upf
Be 9.01 Be.upf
La 138.91 La.upf
CELL_PARAMETERS angstrom
-1.1972 4.4776 1.0338
-4.2478 -0.6708 -2.0141
-1.0620 -0.8678 2.5289
ATOMIC_POSITIONS angstrom
Fe -1.1296 1.8049 1.7813
Be 0.0000 0.0000 0.0000
Be -2.7225 1.9034 -0.4902
La -2.6549 -0.7693 0.2574
```

First-principles (PBE) data for a geometry-optimized LaBeFe structure, as listed in Alexandria via LeMat-Bulk. Values from VASP.

**ΔE to the lowest computed polymorph**: 423 meV/atom
**ΔE_f**: 1.85 eV/f.u.
**Space group**: F-43m (216)
**ρ**: 5.5 g/cm³

Cell and atoms, written as Quantum ESPRESSO input:
```
&SYSTEM
  ibrav = 0, nat = 3, ntyp = 3
/
ATOMIC_SPECIES
La 138.91 La.upf
Fe 55.84 Fe.upf
Be 9.01 Be.upf
CELL_PARAMETERS angstrom
4.4441 0.0000 0.0000
2.2220 3.8487 0.0000
2.2220 1.2829 3.6286
ATOMIC_POSITIONS angstrom
La 4.4441 2.5658 1.8143
Fe 0.0000 0.0000 0.0000
Be 2.2220 1.2829 0.9071
```

Number 1: energy -11.489 eV/cell, magnetic moment 1.246 μB/atom. Number 2: energy -19.275 eV/cell, magnetic moment 0.394 μB/atom. Number 3: energy -12.960 eV/cell, magnetic moment 0.571 μB/atom. Number 4: energy -15.511 eV/cell, magnetic moment 0.320 μB/atom. Number 5: energy -58.561 eV/cell, magnetic moment 0.641 μB/atom. Number 6: energy -28.906 eV/cell, magnetic moment 0.665 μB/atom. Number 7: energy -19.170 eV/cell, magnetic moment 0.143 μB/atom. Number 8: energy -20.590 eV/cell, magnetic moment 0.165 μB/atom. Number 9: energy -55.431 eV/cell, magnetic moment 0.601 μB/atom. Number 10: energy -107.679 eV/cell, magnetic moment 0.641 μB/atom. Number 11: energy -17.950 eV/cell, magnetic moment 0.687 μB/atom. Number 12: energy -15.266 eV/cell, magnetic moment 0.645 μB/atom.